Density functional theory data (PBE) for Li2GeB2O6 after structural relaxation.

abc: 4.7415 4.7415 5.8819
angles: 90.00 90.00 120.00
Space group P-3 (No. 147)
Symmetry-distinct sites (fractional):
Li1 0.3333 0.6667 0.2915
Ge1 0.0000 0.0000 0.0000
B1 0.3333 0.6667 0.8162
O1 0.0639 0.7073 0.8078

Properties
The value obtained for the formation energy from raw total energies is -2.115 eV per atom. The calculation puts the magnetization at 0.00 μB per cell.

Density functional theory data (PBE) for LiGe2BPb after structural relaxation.

abc: 5.422 5.422 5.082
angles: 90.00 90.00 90.00
Space group P4/mmm (No. 123)
Symmetry-distinct sites (fractional):
Li1 0.000 0.000 0.000
Ge1 0.000 0.500 0.500
B1 0.500 0.500 0.000
Pb1 0.000 0.000 0.500

Properties
The calculation puts the magnetization at 0.00 μB per cell. The formation energy comes out at 155 kJ per mole of atoms.